Entry 1:
DFT (PBE) results for a relaxed structure of KZn3Ge.

Lattice parameters (Å, degrees): 5.136 5.136 5.136 90.00 90.00 90.00
Sites, in units of the cell vectors:
K1 0.000 0.000 0.000
Zn1 0.000 0.500 0.500
Zn2 0.500 0.000 0.500
Zn3 0.500 0.500 0.000
Ge1 0.500 0.500 0.500

Output
**Calculated volume**: 27.10 Å³/atom
**ΔE to the lowest computed polymorph**: 0 meV/atom
**N(E_F)**: 0.637 states/eV per atom
**Raw total energy**: -1.65 eV/atom
**DFT formation energy**: 0.25 eV per atom
**Density**: 3.77 g/cm3
**Magnetization**: 0.000 Bohr magnetons per cell

---

Entry 2:
DFT (PBE) results for a relaxed structure of ZrTcPb2.

Lattice parameters (Å, degrees): 5.613 5.613 5.613 135.00 135.00 65.53
Sites, in units of the cell vectors:
Zr1 0.000 0.000 0.000
Tc1 0.750 0.250 0.500
Pb1 0.250 0.750 0.500
Pb2 0.500 0.500 0.000

Output
**Calculated volume**: 21.78 Å³/atom
**ΔE to the lowest computed polymorph**: 306 meV/atom
**N(E_F)**: 0.969 states/eV per atom
**Raw total energy**: -6.22 eV/atom
**DFT formation energy**: 0.36 eV per atom
**Density**: 11.50 g/cm3
**Magnetization**: 0.801 Bohr magnetons per cell

---

Entry 3:
DFT (PBE) results for a relaxed structure of TbSmEr6Tm2.

Lattice parameters (Å, degrees): 8.694 8.694 9.421 93.50 93.50 117.42
Sites, in units of the cell vectors:
Tb1 0.091 0.909 0.750
Tb2 0.909 0.091 0.250
Sm1 0.473 0.527 0.250
Sm2 0.527 0.473 0.750
Er1 0.010 0.792 0.382
Er2 0.066 0.519 0.182
Er3 0.208 0.990 0.118
Er4 0.252 0.622 0.557
Er5 0.378 0.748 0.943
Er6 0.481 0.934 0.318
Er7 0.519 0.066 0.682
Er8 0.622 0.252 0.057
Er9 0.748 0.378 0.443
Er10 0.792 0.010 0.882
Er11 0.934 0.481 0.818
Er12 0.990 0.208 0.618
Tm1 0.197 0.303 0.953
Tm2 0.303 0.197 0.453
Tm3 0.697 0.803 0.547
Tm4 0.803 0.697 0.047

Output
**Calculated volume**: 31.39 Å³/atom
**N(E_F)**: 1.486 states/eV per atom
**Raw total energy**: -4.44 eV/atom
**DFT formation energy**: 0.12 eV per atom
**Density**: 8.73 g/cm3
**Magnetization**: 0.000 Bohr magnetons per cell

---

Entry 4:
DFT (PBE) results for a relaxed structure of Sc2BeMo.

Lattice parameters (Å, degrees): 4.565 4.565 4.565 60.00 60.00 60.00
Sites, in units of the cell vectors:
Sc1 0.000 0.000 0.000
Sc2 0.250 0.250 0.250
Be1 0.500 0.500 0.500
Mo1 0.750 0.750 0.750

Output
**Calculated volume**: 16.81 Å³/atom
**N(E_F)**: 0.989 states/eV per atom
**Raw total energy**: -6.49 eV/atom
**DFT formation energy**: 0.31 eV per atom
**Density**: 4.81 g/cm3
**Magnetization**: 0.006 Bohr magnetons per cell

---

Entry 5:
DFT (PBE) results for a relaxed structure of YReO4.

Lattice parameters (Å, degrees): 5.461 4.975 5.715 90.00 90.00 90.00
Sites, in units of the cell vectors:
Y1 0.000 0.000 0.000
Y2 0.000 0.500 0.500
Re1 0.500 0.000 0.340
Re2 0.500 0.500 0.840
O1 0.192 0.184 0.313
O2 0.192 0.316 0.813
O3 0.364 0.747 0.581
O4 0.364 0.753 0.081
O5 0.636 0.247 0.081
O6 0.636 0.253 0.581
O7 0.808 0.684 0.813
O8 0.808 0.816 0.313

Output
**Calculated volume**: 12.94 Å³/atom
**ΔE to the lowest computed polymorph**: 112 meV/atom
**N(E_F)**: 0.642 states/eV per atom
**Raw total energy**: -8.71 eV/atom
**ΔE_f (raw)**: -2251 meV/atom
**Density**: 7.25 g/cm3
**Magnetization**: 2.578 Bohr magnetons per cell

---

Entry 6:
DFT (PBE) results for a relaxed structure of Nb2TcS3.

Lattice parameters (Å, degrees): 6.828 6.828 6.828 152.24 56.29 132.08
Sites, in units of the cell vectors:
Nb1 0.193 0.000 0.193
Nb2 0.807 0.000 0.807
Tc1 0.596 0.096 0.500
S1 0.160 0.792 0.368
S2 0.424 0.792 0.632
S3 0.872 0.872 0.000

Output
**Calculated volume**: 18.23 Å³/atom
**N(E_F)**: 0.680 states/eV per atom
**Raw total energy**: -7.62 eV/atom
**ΔE_f (raw)**: -470 meV/atom
**Density**: 5.77 g/cm3
**Magnetization**: 0.000 Bohr magnetons per cell

---

Entry 7:
DFT (PBE) results for a relaxed structure of LaNiSCl2.

Lattice parameters (Å, degrees): 4.541 4.541 4.811 90.00 90.00 90.00
Sites, in units of the cell vectors:
La1 0.000 0.000 0.000
Ni1 0.500 0.500 0.500
S1 0.500 0.500 0.000
Cl1 0.000 0.500 0.500
Cl2 0.500 0.000 0.500

Output
**Calculated volume**: 19.84 Å³/atom
**ΔE to the lowest computed polymorph**: 0 meV/atom
**N(E_F)**: 0.669 states/eV per atom
**Raw total energy**: -4.88 eV/atom
**ΔE_f (raw)**: -1178 meV/atom
**Density**: 5.03 g/cm3
**Magnetization**: 0.241 Bohr magnetons per cell

---

Entry 8:
DFT (PBE) results for a relaxed structure of LaTa2Os.

Lattice parameters (Å, degrees): 4.888 4.888 3.170 90.00 90.00 90.00
Sites, in units of the cell vectors:
La1 0.000 0.000 0.000
Ta1 0.000 0.500 0.500
Ta2 0.500 0.000 0.500
Os1 0.500 0.500 0.000

Output
**Calculated volume**: 18.93 Å³/atom
**ΔE to the lowest computed polymorph**: 375 meV/atom
**N(E_F)**: 0.989 states/eV per atom
**Raw total energy**: -9.50 eV/atom
**DFT formation energy**: 0.46 eV per atom
**Density**: 15.15 g/cm3
**Magnetization**: 0.000 Bohr magnetons per cell

---

Entry 9:
DFT (PBE) results for a relaxed structure of La4Pm2N.

Lattice parameters (Å, degrees): 9.591 9.591 9.591 149.05 149.05 44.34
Sites, in units of the cell vectors:
La1 0.000 0.500 0.500
La2 0.137 0.137 0.000
La3 0.500 0.000 0.500
La4 0.863 0.863 0.000
Pm1 0.334 0.334 0.000
Pm2 0.666 0.666 0.000
N1 0.000 0.000 0.000

Output
**Calculated volume**: 33.24 Å³/atom
**N(E_F)**: 1.460 states/eV per atom
**Raw total energy**: -5.59 eV/atom
**ΔE_f (raw)**: -227 meV/atom
**Density**: 6.13 g/cm3
**Magnetization**: 0.001 Bohr magnetons per cell

---

Entry 10:
DFT (PBE) results for a relaxed structure of Al2PSe.

Lattice parameters (Å, degrees): 3.544 6.378 6.378 31.01 90.00 90.00
Sites, in units of the cell vectors:
Al1 0.000 0.000 0.000
Al2 0.500 0.207 0.207
P1 0.500 0.549 0.549
Se1 0.000 0.797 0.797

Output
**Calculated volume**: 18.56 Å³/atom
**ΔE to the lowest computed polymorph**: 115 meV/atom
**N(E_F)**: 0.166 states/eV per atom
**Raw total energy**: -4.45 eV/atom
**ΔE_f (raw)**: -358 meV/atom
**Density**: 3.67 g/cm3
**Magnetization**: 0.000 Bohr magnetons per cell

---

Entry 11:
DFT (PBE) results for a relaxed structure of Cs6Rb2PtAu.

Lattice parameters (Å, degrees): 18.051 18.051 18.051 33.00 33.00 33.00
Sites, in units of the cell vectors:
Cs1 0.108 0.108 0.661
Cs2 0.108 0.661 0.108
Cs3 0.222 0.696 0.696
Cs4 0.304 0.304 0.778
Cs5 0.304 0.778 0.304
Cs6 0.339 0.892 0.892
Cs7 0.661 0.108 0.108
Cs8 0.696 0.222 0.696
Cs9 0.696 0.696 0.222
Cs10 0.778 0.304 0.304
Cs11 0.892 0.339 0.892
Cs12 0.892 0.892 0.339
Rb1 0.214 0.214 0.214
Rb2 0.374 0.374 0.374
Rb3 0.626 0.626 0.626
Rb4 0.786 0.786 0.786
Pt1 0.000 0.000 0.000
Pt2 0.500 0.500 0.500
Au1 0.090 0.090 0.090
Au2 0.910 0.910 0.910

Output
**Calculated volume**: 77.63 Å³/atom
**N(E_F)**: 0.695 states/eV per atom
**Raw total energy**: -1.71 eV/atom
**DFT formation energy**: -0.08 eV per atom
**Density**: 2.91 g/cm3
**Magnetization**: 0.000 Bohr magnetons per cell

---

Entry 12:
DFT (PBE) results for a relaxed structure of NdDyBeCu.

Lattice parameters (Å, degrees): 4.963 4.963 4.963 60.00 60.00 60.00
Sites, in units of the cell vectors:
Nd1 0.000 0.000 0.000
Dy1 0.500 0.500 0.500
Be1 0.250 0.250 0.250
Cu1 0.750 0.750 0.750

Output
**Calculated volume**: 21.61 Å³/atom
**N(E_F)**: 0.594 states/eV per atom
**Raw total energy**: -4.30 eV/atom
**DFT formation energy**: 0.00 eV per atom
**Density**: 7.29 g/cm3
**Magnetization**: 0.000 Bohr magnetons per cell

---

> Which value of raw total energy does entry 9 give?

-5.59 eV/atom